Compound: HfSnHgGe2
Source: Alexandria via LeMat-Bulk
Functional: meta-GGA SCAN
Structure: single point on PBEsol structure

Cell lengths 5.061, 5.061, 5.453 Å; angles 90.00, 90.00, 90.00 degrees
Element x y z (fractional)
Hf: 0.000 0.000 0.000
Sn: 0.000 0.000 0.500
Hg: 0.500 0.500 0.000
Ge: 0.000 0.500 0.500
Ge: 0.500 0.000 0.500

Calculated values
* VASP energy: -39.93 eV/atom
* calculated volume: 27.932 A^3/atom
* energy relative to the lowest polymorph listed for this composition: 539 meV per atom
* magnetic moment: 0.00 μB/f.u.
* DFT formation energy: 5.31 eV/f.u.